LaNd4Sm | PBE | relaxed

Cell: 7.0242 12.4545 9.8171 Å, 90.00 90.00 90.00°
With the nearest neighbours (Å) after each atom.
Space group Cmcm (No. 63)
One atom of each set of equivalent atoms:
La 0.0000 0.1815 0.2500  2 Nd 3.17, 2 Sm 3.34
Nd 0.0000 0.3447 0.5748  3 Nd 3.44-3.66, 1 La 3.78
Nd 0.2365 0.3979 0.2500  1 La 3.17, 1 Nd 3.32, 2 Sm 3.33
Sm 0.0000 0.0000 0.0000  4 Nd 3.33, 2 La 3.34

Output
Total moment ... 0.0 μB per formula unit
Final energy ... -0.33683 Ry/atom
Energy of formation from the pure elements ... 204 meV/atom
Volume ... 35.78 A^3/atom

TlAsHSe2 | PBE | relaxed

Cell: 5.6747 5.1397 9.4241 Å, 90.00 98.50 90.00°
With the nearest neighbours (Å) after each atom.
Space group P2/c (No. 13)
One atom of each set of equivalent atoms:
Tl 0.0000 0.1915 0.2500  2 As 3.15, 4 Se 3.30-3.40
As 0.5000 0.0738 0.7500  2 Se 2.38
H 0.5000 0.5000 0.0000  2 Se 1.77
Se 0.2717 0.3589 0.5837  1 H 1.77

Output
Total moment ... 0.0 μB per formula unit
Final energy ... -0.25772 Ry/atom
Volume ... 27.18 A^3/atom

ScAlIn2 | PBE | relaxed

Cell: 7.1381 7.1381 7.1381 Å, 90.00 90.00 90.00°
With the nearest neighbours (Å) after each atom.
Space group F-43m (No. 216)
One atom of each set of equivalent atoms:
Sc 0.0000 0.0000 0.0000  4 In 3.09, 4 Al 3.09
Al 0.2500 0.2500 0.7500  4 In 3.09, 4 Sc 3.09
In 0.0000 0.0000 0.5000  4 Al 3.09, 4 In 3.09
In 0.2500 0.2500 0.2500  4 In 3.09, 4 Sc 3.09

Output
Total moment ... 0.0 μB per formula unit
Final energy ... -0.28333 Ry/atom
Energy of formation from the pure elements ... 33 meV/atom
Volume ... 22.73 A^3/atom